(1)
This record from Alexandria describes a geometry-optimized Rb3TlSe structure. The functional is PBE-GGA.

Values from the calculation:
raw formation energy	-409	meV per atom
V	58.48	Å³ per atom
density of states at the Fermi level	1.02	states/eV/atom
SG	Pm-3m, No. 221
E_tot	-2.16	eV per atom

Lattice parameters (Å, degrees): 6.637 6.637 6.637 90.00 90.00 90.00
Fractional positions:
Rb 0.000 0.000 0.500
Rb 0.000 0.500 0.000
Rb 0.500 0.000 0.000
Tl 0.500 0.500 0.500
Se 0.000 0.000 0.000

(2)
This record from Alexandria describes a geometry-optimized RbTlSe structure. The functional is PBE-GGA.

Values from the calculation:
raw formation energy	-722	meV per atom
V	37.76	Å³ per atom
SG	Cm, No. 8
E_tot	-3.00	eV per atom

Lattice parameters (Å, degrees): 7.328 7.328 7.239 106.51 106.51 37.66
Fractional positions:
Rb 0.000 0.000 0.000
Rb 0.645 0.645 0.601
Tl 0.317 0.317 0.104
Tl 0.888 0.888 0.458
Se 0.337 0.337 0.677
Se 0.687 0.687 0.120

(3)
This record from Alexandria describes a geometry-optimized RbTlSe structure. The functional is PBE-GGA.

Values from the calculation:
raw formation energy	-732	meV per atom
V	39.34	Å³ per atom
SG	R3m, No. 160
E_tot	-3.00	eV per atom

Lattice parameters (Å, degrees): 6.731 6.731 6.731 40.90 40.90 40.90
Fractional positions:
Rb 0.000 0.000 0.000
Tl 0.484 0.484 0.484
Se 0.225 0.225 0.225

(4)
This record from Alexandria describes a geometry-optimized Rb5Tl2Se4 structure. The functional is PBE-GGA.

Values from the calculation:
raw formation energy	-830	meV per atom
V	43.39	Å³ per atom
density of states at the Fermi level	0.12	states/eV/atom
SG	C2/m, No. 12
E_tot	-2.97	eV per atom

Lattice parameters (Å, degrees): 9.942 9.942 9.823 103.61 103.61 30.46
Fractional positions:
Rb 0.000 0.000 0.000
Rb 0.323 0.323 0.074
Rb 0.343 0.343 0.527
Rb 0.657 0.657 0.473
Rb 0.677 0.677 0.926
Tl 0.046 0.046 0.653
Tl 0.954 0.954 0.347
Se 0.201 0.201 0.721
Se 0.493 0.493 0.239
Se 0.507 0.507 0.761
Se 0.799 0.799 0.279

(5)
This record from Alexandria describes a geometry-optimized RbTlSe structure. The functional is PBE-GGA.

Values from the calculation:
raw formation energy	-644	meV per atom
V	33.77	Å³ per atom
SG	I4mm, No. 107
E_tot	-2.92	eV per atom

Lattice parameters (Å, degrees): 6.797 6.797 6.797 145.30 145.30 49.89
Fractional positions:
Rb 0.000 0.000 0.000
Tl 0.714 0.714 0.000
Se 0.324 0.324 0.000

(6)
This record from Alexandria describes a geometry-optimized RbTlSe structure. The functional is PBE-GGA.

Values from the calculation:
raw formation energy	-727	meV per atom
V	39.17	Å³ per atom
density of states at the Fermi level	0.00	states/eV/atom
SG	P3m1, No. 156
E_tot	-3.00	eV per atom

Lattice parameters (Å, degrees): 4.645 4.645 6.289 90.00 90.00 120.00
Fractional positions:
Rb 0.000 0.000 0.000
Tl 0.667 0.333 0.454
Se 0.333 0.667 0.680